1.
# Na2SiAgS4

A geometry-optimized Na2SiAgS4 structure (GGA-PBE, Alexandria).

Computed properties:
The electronic total energy comes out at -4.103 eV/atom. The value obtained for the volume is 20.8 Å³ per atom. The value obtained for the formation energy (no corrections) is -675 meV per atom.

Unit cell a=6.0108 b=6.0108 c=6.0108 alpha=107.38 beta=107.38 gamma=113.74
Atoms (fractional coordinates):
Na: 0.0000 0.5000 0.5000
Na: 0.5000 0.0000 0.5000
Si: 0.0000 0.0000 0.0000
Ag: 0.5000 0.5000 0.0000
S: 0.0307 0.3678 0.0000
S: 0.3678 0.0307 0.0000
S: 0.6322 0.6322 0.6629
S: 0.9693 0.9693 0.3371

---

2.
# InW5

A geometry-optimized InW5 structure (GGA-PBE, Alexandria).

Computed properties:
The electronic total energy comes out at -10.901 eV/atom. The value obtained for the volume is 16.8 Å³ per atom. As for the excess energy over the best structure of this formula in the dataset: 0 meV per atom. The calculation puts the formation energy at 0.35 eV/atom.

Unit cell a=7.1712 b=7.1712 c=3.2589 alpha=90.00 beta=90.00 gamma=143.13
Atoms (fractional coordinates):
In: 0.0000 0.0000 0.0000
W: 0.1738 0.8262 0.5000
W: 0.3353 0.6647 0.0000
W: 0.5000 0.5000 0.5000
W: 0.6647 0.3353 0.0000
W: 0.8262 0.1738 0.5000

---

3.
# HfSc2B2Rh5

A geometry-optimized HfSc2B2Rh5 structure (GGA-PBE, Alexandria).

Computed properties:
The electronic total energy comes out at -8.161 eV/atom. The value obtained for the volume is 14.2 Å³ per atom. The calculation puts the formation energy at -0.89 eV/atom.

Unit cell a=9.4502 b=9.4502 c=3.1836 alpha=90.00 beta=90.00 gamma=90.00
Atoms (fractional coordinates):
Hf: 0.0000 0.0000 0.0000
Hf: 0.5000 0.5000 0.0000
Sc: 0.1737 0.3263 0.0000
Sc: 0.3263 0.8263 0.0000
Sc: 0.6737 0.1737 0.0000
Sc: 0.8263 0.6737 0.0000
B: 0.1212 0.6212 0.0000
B: 0.3788 0.1212 0.0000
B: 0.6212 0.8788 0.0000
B: 0.8788 0.3788 0.0000
Rh: 0.0000 0.5000 0.5000
Rh: 0.0720 0.7780 0.5000
Rh: 0.2220 0.0720 0.5000
Rh: 0.2780 0.5720 0.5000
Rh: 0.4280 0.2780 0.5000
Rh: 0.5000 0.0000 0.5000
Rh: 0.5720 0.7220 0.5000
Rh: 0.7220 0.4280 0.5000
Rh: 0.7780 0.9280 0.5000
Rh: 0.9280 0.2220 0.5000

---

4.
# LuTi2Al

A geometry-optimized LuTi2Al structure (GGA-PBE, Alexandria).

Computed properties:
The electronic total energy comes out at -6.115 eV/atom. The value obtained for the volume is 19.1 Å³ per atom. The calculation puts the formation energy at -0.10 eV/atom.

Unit cell a=4.2524 b=4.2524 c=4.2261 alpha=90.00 beta=90.00 gamma=90.00
Atoms (fractional coordinates):
Lu: 0.0000 0.0000 0.0000
Ti: 0.0000 0.5000 0.5000
Ti: 0.5000 0.0000 0.5000
Al: 0.5000 0.5000 0.0000

---

5.
# Li2MgPd8

A geometry-optimized Li2MgPd8 structure (GGA-PBE, Alexandria).

Computed properties:
The electronic total energy comes out at -4.607 eV/atom. The value obtained for the volume is 15.0 Å³ per atom. As for the excess energy over the best structure of this formula in the dataset: 0 meV per atom. The calculation puts the formation energy at -0.34 eV/atom.

Unit cell a=7.3029 b=7.3029 c=6.2491 alpha=105.62 beta=105.62 gamma=31.08
Atoms (fractional coordinates):
Li: 0.2278 0.2278 0.1440
Li: 0.7722 0.7722 0.8560
Mg: 0.5000 0.5000 0.5000
Pd: 0.0467 0.0467 0.2269
Pd: 0.1398 0.1398 0.6912
Pd: 0.3177 0.3177 0.5892
Pd: 0.4053 0.4053 0.0436
Pd: 0.5947 0.5947 0.9564
Pd: 0.6823 0.6823 0.4108
Pd: 0.8602 0.8602 0.3088
Pd: 0.9533 0.9533 0.7731

---

6.
# La3TbO6

A geometry-optimized La3TbO6 structure (GGA-PBE, Alexandria).

Computed properties:
The electronic total energy comes out at -8.394 eV/atom. The value obtained for the volume is 17.8 Å³ per atom. The value obtained for the formation energy (no corrections) is -3478 meV per atom.

Unit cell a=7.0870 b=7.0870 c=7.0870 alpha=91.81 beta=91.81 gamma=91.81
Atoms (fractional coordinates):
La: 0.0560 0.7519 0.5626
La: 0.2481 0.4374 0.9440
La: 0.4374 0.9440 0.2481
La: 0.5626 0.0560 0.7519
La: 0.7519 0.5626 0.0560
La: 0.9440 0.2481 0.4374
Tb: 0.0000 0.0000 0.0000
Tb: 0.5000 0.5000 0.5000
O: 0.0340 0.6911 0.9035
O: 0.0965 0.9660 0.3089
O: 0.1915 0.4365 0.5882
O: 0.3089 0.0965 0.9660
O: 0.4118 0.8085 0.5635
O: 0.4365 0.5882 0.1915
O: 0.5635 0.4118 0.8085
O: 0.5882 0.1915 0.4365
O: 0.6911 0.9035 0.0340
O: 0.8085 0.5635 0.4118
O: 0.9035 0.0340 0.6911
O: 0.9660 0.3089 0.0965

---

> Which value of electronic total energy does entry 6 give?

-8.394 eV/atom

---

> The highest electronic total energy belongs to which entry?

Na2SiAgS4

---

Repeat the third record exactly.
# HfSc2B2Rh5

A geometry-optimized HfSc2B2Rh5 structure (GGA-PBE, Alexandria).

Computed properties:
The electronic total energy comes out at -8.161 eV/atom. The value obtained for the volume is 14.2 Å³ per atom. The calculation puts the formation energy at -0.89 eV/atom.

Unit cell a=9.4502 b=9.4502 c=3.1836 alpha=90.00 beta=90.00 gamma=90.00
Atoms (fractional coordinates):
Hf: 0.0000 0.0000 0.0000
Hf: 0.5000 0.5000 0.0000
Sc: 0.1737 0.3263 0.0000
Sc: 0.3263 0.8263 0.0000
Sc: 0.6737 0.1737 0.0000
Sc: 0.8263 0.6737 0.0000
B: 0.1212 0.6212 0.0000
B: 0.3788 0.1212 0.0000
B: 0.6212 0.8788 0.0000
B: 0.8788 0.3788 0.0000
Rh: 0.0000 0.5000 0.5000
Rh: 0.0720 0.7780 0.5000
Rh: 0.2220 0.0720 0.5000
Rh: 0.2780 0.5720 0.5000
Rh: 0.4280 0.2780 0.5000
Rh: 0.5000 0.0000 0.5000
Rh: 0.5720 0.7220 0.5000
Rh: 0.7220 0.4280 0.5000
Rh: 0.7780 0.9280 0.5000
Rh: 0.9280 0.2220 0.5000